This record from Alexandria via LeMat-Bulk describes a relaxed AcUCo crystal. The functional is PBE.

Structure (POSCAR):
```
AcUCo
1.0
-2.336 -0.710 2.949
-3.053 -1.057 -2.673
9.185 -7.562 -4.212
Ac Co U
2 2 2
Cartesian
4.151 -7.220 -1.886
-0.355 -2.109 -2.050
0.350 -3.120 0.834
3.446 -6.209 -4.770
1.933 -4.323 -0.499
1.863 -5.005 -3.437
```

Results
E_form ... 0.13 eV/atom
Total magnetization ... 0.9 μB/f.u.

This record from Alexandria via LeMat-Bulk describes a relaxed AcVCo crystal. The functional is PBE.

Structure (POSCAR):
```
AcVCo
1.0
-4.231 -1.312 -1.950
2.087 -1.328 2.371
-5.244 5.481 7.688
Co V Ac
2 2 2
Cartesian
-2.126 -1.427 -0.433
-2.633 1.967 4.388
-4.776 4.211 7.529
-0.489 -0.271 1.243
-3.843 0.365 2.085
-5.653 2.258 4.740
```

Results
E_form ... 0.41 eV/atom
Total magnetization ... 0.4 μB/f.u.

This record from Alexandria via LeMat-Bulk describes a relaxed Ac3YCo crystal. The functional is PBE.

Structure (POSCAR):
```
Ac3YCo
1.0
-5.540 0.336 1.182
0.591 -4.056 3.924
1.077 3.954 3.925
Co Y Ac
1 1 3
Cartesian
0.000 0.000 0.000
-1.936 0.117 4.516
-2.770 0.168 0.591
0.539 1.977 1.963
0.296 -2.028 1.962
```

Results
E_form ... 0.08 eV/atom
Total magnetization ... 0.0 μB/f.u.

This record from Alexandria via LeMat-Bulk describes a relaxed Ac2YCo crystal. The functional is PBE.

Structure (POSCAR):
```
Ac2YCo
1.0
-1.968 -1.604 2.968
-2.504 -2.922 -0.669
6.424 -8.614 2.176
Ac Y Co
2 1 1
Cartesian
3.728 -6.194 1.696
-1.776 -6.946 2.779
0.000 0.000 0.000
0.976 -6.570 2.237
```

Results
E_form ... 0.27 eV/atom
Total magnetization ... 0.4 μB/f.u.

This record from Alexandria via LeMat-Bulk describes a relaxed AcYCo crystal. The functional is PBE.

Structure (POSCAR):
```
AcYCo
1.0
-0.838 5.428 3.297
-4.012 -0.690 0.116
2.398 -1.430 2.964
Co Ac Y
1 1 1
Cartesian
-0.829 5.364 3.259
0.064 0.099 2.794
-2.525 3.271 3.622
```

Results
E_form ... 0.00 eV/atom
Total magnetization ... 0.0 μB/f.u.

This record from Alexandria via LeMat-Bulk describes a relaxed AcYCo crystal. The functional is PBE.

Structure (POSCAR):
```
AcYCo
1.0
4.132 0.001 0.001
2.065 3.533 0.587
-0.004 0.362 12.506
Y Co Ac
2 2 2
Cartesian
1.797 2.223 7.893
3.862 2.950 10.805
3.863 3.620 6.781
1.797 1.553 11.917
3.864 1.514 4.856
5.931 3.298 1.337
```

Results
E_form ... -0.04 eV/atom
Total magnetization ... 0.0 μB/f.u.

This record from Alexandria via LeMat-Bulk describes a relaxed Ac3YCo2 crystal. The functional is PBE.

Structure (POSCAR):
```
Ac3YCo2
1.0
4.093 0.000 0.843
1.767 8.651 1.779
-0.088 -0.647 10.785
Ac Co Y
6 4 2
Cartesian
5.466 7.905 4.538
0.307 0.100 8.869
1.041 1.398 5.305
1.832 2.759 1.466
4.732 6.606 8.102
3.941 5.246 11.941
1.594 5.300 2.621
4.179 2.704 10.786
3.047 7.314 5.924
2.726 0.691 7.483
3.289 4.847 4.751
2.484 3.157 8.656
```

Results
E_form ... -0.03 eV/atom
Total magnetization ... 0.0 μB/f.u.

This record from Alexandria via LeMat-Bulk describes a relaxed AcYCo crystal. The functional is PBE.

Structure (POSCAR):
```
AcYCo
1.0
-0.762 3.428 0.535
-2.787 -0.279 -2.185
-2.083 -3.233 5.957
Y Ac Co
1 1 1
Cartesian
-0.342 -0.147 0.455
-2.307 -0.992 3.069
-2.983 1.055 0.783
```

Results
E_form ... 0.06 eV/atom
Total magnetization ... 0.8 μB/f.u.

This record from Alexandria via LeMat-Bulk describes a relaxed Ac3ZnCo crystal. The functional is PBE.

Structure (POSCAR):
```
Ac3ZnCo
1.0
-0.656 -1.756 5.212
2.357 -4.833 -1.332
4.970 2.060 1.319
Ac Zn Co
3 1 1
Cartesian
2.485 1.030 0.660
-0.328 -0.878 2.606
1.179 -2.416 -0.666
3.336 -2.264 2.600
0.000 0.000 0.000
```

Results
E_form ... 0.01 eV/atom
Total magnetization ... 0.0 μB/f.u.

This record from Alexandria via LeMat-Bulk describes a relaxed Ac4ZnCo crystal. The functional is PBE.

Structure (POSCAR):
```
Ac4ZnCo
1.0
7.232 -0.112 0.000
-1.349 7.699 0.000
-2.941 -3.794 7.809
Ac Co Zn
8 2 2
Cartesian
3.386 1.783 0.645
4.060 -2.066 7.164
3.830 -1.259 3.235
3.155 2.590 4.574
-0.445 2.010 7.164
-0.214 1.203 3.235
-1.119 5.860 0.645
-0.889 5.053 4.574
-2.483 3.877 6.576
5.424 -0.084 1.233
1.808 -0.028 5.907
1.133 3.822 1.902
```

Results
E_form ... -0.03 eV/atom
Total magnetization ... 0.0 μB/f.u.

This record from Alexandria via LeMat-Bulk describes a relaxed Ac7Zn2Co2 crystal. The functional is PBE.

Structure (POSCAR):
```
Ac7Zn2Co2
1.0
7.470 -0.008 0.071
0.007 6.625 3.206
-0.040 -0.317 7.353
Co Ac Zn
2 7 2
Cartesian
-0.022 4.367 7.311
7.459 1.932 3.319
1.845 2.986 8.964
5.569 -0.159 3.740
1.868 6.458 6.890
5.612 3.153 5.343
0.000 0.000 0.000
1.825 3.146 5.287
5.592 3.313 1.666
3.735 5.523 3.897
3.702 0.776 6.733
```

Results
E_form ... 0.00 eV/atom
Total magnetization ... 0.0 μB/f.u.

This record from Alexandria via LeMat-Bulk describes a relaxed Ac3Zn2Co2 crystal. The functional is PBE.

Structure (POSCAR):
```
Ac3Zn2Co2
1.0
-0.449 2.049 -3.555
-5.279 -2.845 1.423
1.027 7.328 4.093
Co Zn Ac
2 2 3
Cartesian
-1.286 6.188 3.728
-3.415 0.343 -1.767
-4.853 4.253 0.667
0.152 2.279 1.294
-0.224 1.024 -1.778
-3.064 1.334 1.155
-1.637 5.198 0.806
```

Results
E_form ... -0.15 eV/atom
Total magnetization ... 1.2 μB/f.u.

Q: E_form of number 6 (AcYCo)?
A: -0.04 eV/atom

Q: The highest E_form belongs to which entry?
A: AcVCo

Q: Among the records above, which one has the highest E_form?
A: AcVCo